Density functional theory data (PBE) for crystalline YZnBr2 at its relaxed geometry.

Unit cell a=10.623 b=3.694 c=6.674 alpha=90.00 beta=107.93 gamma=90.00
Space group Cm (No. 8)
One atom of each set of equivalent atoms:
Y 0.000 0.000 0.000 [2 per cell]
Zn 0.494 0.000 0.354 [2 per cell]
Br 0.217 0.500 0.043 [2 per cell]
Br 0.371 0.000 0.669 [2 per cell]

Summary:
The value obtained for the energy above the lowest structure with this stoichiometry is 1.1 meV/atom. For the magnetization, the calculation gives 1.84 μB per cell. The calculation puts the uncorrected formation energy at -93 kJ/mol of atoms.

***

Density functional theory data (PBE) for crystalline YZnBr2 at its relaxed geometry.

Unit cell a=7.425 b=7.425 c=7.425 alpha=90.00 beta=90.00 gamma=90.00
Space group F-43m (No. 216)
One atom of each set of equivalent atoms:
Y 0.000 0.000 0.000 [4 per cell]
Zn 0.250 0.250 0.750 [4 per cell]
Br 0.000 0.000 0.500 [4 per cell]
Br 0.250 0.250 0.250 [4 per cell]

Summary:
The value obtained for the energy above the lowest structure with this stoichiometry is 535.7 meV/atom. For the magnetization, the calculation gives 2.04 μB per cell. The calculation puts the uncorrected formation energy at -41 kJ/mol of atoms.

***

Density functional theory data (PBE) for crystalline Y2ZnBr at its relaxed geometry.

Unit cell a=4.427 b=5.793 c=7.886 alpha=90.00 beta=90.00 gamma=90.00
Space group Immm (No. 71)
One atom of each set of equivalent atoms:
Y 0.000 0.000 0.243 [4 per cell]
Zn 0.000 0.500 0.000 [2 per cell]
Br 0.000 0.500 0.500 [2 per cell]

Summary:
The value obtained for the energy above the lowest structure with this stoichiometry is 235.9 meV/atom. For the magnetization, the calculation gives 0.00 μB per cell. The calculation puts the uncorrected formation energy at -42 kJ/mol of atoms.

***

Density functional theory data (PBE) for crystalline Y2ZnBr at its relaxed geometry.

Unit cell a=3.9951 b=3.9951 c=22.5437 alpha=90.00 beta=90.00 gamma=120.00
Space group R-3m (No. 166, hexagonal axes)
One atom of each set of equivalent atoms:
Y 0.0000 0.0000 0.2421 [6 per cell]
Zn 0.0000 0.0000 0.5000 [3 per cell]
Br 0.0000 0.0000 0.0000 [3 per cell]

Summary:
The value obtained for the energy above the lowest structure with this stoichiometry is 0.0 meV/atom. For the magnetization, the calculation gives 0.00 μB per cell. The calculation puts the uncorrected formation energy at -64 kJ/mol of atoms.

***

Density functional theory data (PBE) for crystalline Y2ZnBr at its relaxed geometry.

Unit cell a=3.604 b=4.862 c=6.188 alpha=90.00 beta=90.00 gamma=90.00
Space group Pmmm (No. 47)
One atom of each set of equivalent atoms:
Y 0.000 0.000 0.000 [1 per cell]
Y 0.500 0.000 0.500 [1 per cell]
Zn 0.000 0.500 0.500 [1 per cell]
Br 0.500 0.500 0.000 [1 per cell]

Summary:
The value obtained for the energy above the lowest structure with this stoichiometry is 336.0 meV/atom. For the magnetization, the calculation gives 0.00 μB per cell. The calculation puts the uncorrected formation energy at -32 kJ/mol of atoms.

***

Density functional theory data (PBE) for crystalline YZnBr2 at its relaxed geometry.

Unit cell a=7.321 b=7.321 c=7.321 alpha=90.00 beta=90.00 gamma=90.00
Space group Fm-3m (No. 225)
One atom of each set of equivalent atoms:
Y 0.000 0.000 0.000 [4 per cell]
Zn 0.000 0.000 0.500 [4 per cell]
Br 0.250 0.250 0.250 [8 per cell]

Summary:
The value obtained for the energy above the lowest structure with this stoichiometry is 271.0 meV/atom. For the magnetization, the calculation gives 3.68 μB per cell. The calculation puts the uncorrected formation energy at -67 kJ/mol of atoms.

***

Density functional theory data (PBE) for crystalline Y2ZnBr at its relaxed geometry.

Unit cell a=3.7606 b=3.7606 c=25.0041 alpha=90.00 beta=90.00 gamma=120.00
Space group R3m (No. 160, hexagonal axes)
One atom of each set of equivalent atoms:
Y 0.0000 0.0000 0.0000 [3 per cell]
Y 0.0000 0.0000 0.1766 [3 per cell]
Zn 0.0000 0.0000 0.5888 [3 per cell]
Br 0.0000 0.0000 0.4208 [3 per cell]

Summary:
The value obtained for the energy above the lowest structure with this stoichiometry is 6.8 meV/atom. For the magnetization, the calculation gives 0.00 μB per cell. The calculation puts the uncorrected formation energy at -64 kJ/mol of atoms.

***

Density functional theory data (PBE) for crystalline YZnBr2 at its relaxed geometry.

Unit cell a=4.072 b=3.911 c=8.531 alpha=90.00 beta=103.67 gamma=90.00
Space group Pm (No. 6)
One atom of each set of equivalent atoms:
Y 0.000 0.000 0.000 [1 per cell]
Zn 0.424 0.500 0.846 [1 per cell]
Br 0.120 0.500 0.246 [1 per cell]
Br 0.837 0.000 0.669 [1 per cell]

Summary:
The value obtained for the energy above the lowest structure with this stoichiometry is 64.5 meV/atom. For the magnetization, the calculation gives 0.00 μB per cell. The calculation puts the uncorrected formation energy at -87 kJ/mol of atoms.

***

Density functional theory data (PBE) for crystalline Y2ZnBr at its relaxed geometry.

Unit cell a=4.904 b=3.568 c=11.286 alpha=90.00 beta=90.00 gamma=90.00
Space group Amm2 (No. 38)
One atom of each set of equivalent atoms:
Y 0.000 0.000 0.000 [2 per cell]
Y 0.500 0.000 0.265 [2 per cell]
Zn 0.000 0.000 0.744 [2 per cell]
Br 0.500 0.000 0.523 [2 per cell]

Summary:
The value obtained for the energy above the lowest structure with this stoichiometry is 103.7 meV/atom. For the magnetization, the calculation gives 0.36 μB per cell. The calculation puts the uncorrected formation energy at -54 kJ/mol of atoms.

***

Density functional theory data (PBE) for crystalline YZnBr2 at its relaxed geometry.

Unit cell a=5.160 b=5.160 c=3.751 alpha=90.00 beta=90.00 gamma=90.00
Space group P4/mmm (No. 123)
One atom of each set of equivalent atoms:
Y 0.000 0.000 0.000 [1 per cell]
Zn 0.500 0.500 0.000 [1 per cell]
Br 0.000 0.500 0.500 [2 per cell]

Summary:
The value obtained for the energy above the lowest structure with this stoichiometry is 346.8 meV/atom. For the magnetization, the calculation gives 0.00 μB per cell. The calculation puts the uncorrected formation energy at -59 kJ/mol of atoms.

***

Density functional theory data (PBE) for crystalline Y2ZnBr at its relaxed geometry.

Unit cell a=3.493 b=3.493 c=8.137 alpha=90.00 beta=90.00 gamma=90.00
Space group P4/mmm (No. 123)
One atom of each set of equivalent atoms:
Y 0.000 0.000 0.219 [2 per cell]
Zn 0.500 0.500 0.000 [1 per cell]
Br 0.500 0.500 0.500 [1 per cell]

Summary:
The value obtained for the energy above the lowest structure with this stoichiometry is 92.3 meV/atom. For the magnetization, the calculation gives 0.01 μB per cell. The calculation puts the uncorrected formation energy at -56 kJ/mol of atoms.

***

Density functional theory data (PBE) for crystalline Y2ZnBr at its relaxed geometry.

Unit cell a=7.503 b=7.503 c=7.503 alpha=90.00 beta=90.00 gamma=90.00
Space group F-43m (No. 216)
One atom of each set of equivalent atoms:
Y 0.000 0.000 0.000 [4 per cell]
Y 0.250 0.250 0.250 [4 per cell]
Zn 0.250 0.250 0.750 [4 per cell]
Br 0.000 0.000 0.500 [4 per cell]

Summary:
The value obtained for the energy above the lowest structure with this stoichiometry is 870.4 meV/atom. For the magnetization, the calculation gives 0.01 μB per cell. The calculation puts the uncorrected formation energy at 20 kJ/mol of atoms.

***

Density functional theory data (PBE) for crystalline YZnBr2 at its relaxed geometry.

Unit cell a=3.646 b=3.646 c=8.598 alpha=90.00 beta=90.00 gamma=90.00
Space group P4mm (No. 99)
One atom of each set of equivalent atoms:
Y 0.000 0.000 0.000 [1 per cell]
Zn 0.500 0.500 0.203 [1 per cell]
Br 0.000 0.000 0.353 [1 per cell]
Br 0.500 0.500 0.799 [1 per cell]

Summary:
The value obtained for the energy above the lowest structure with this stoichiometry is 73.0 meV/atom. For the magnetization, the calculation gives 0.00 μB per cell. The calculation puts the uncorrected formation energy at -86 kJ/mol of atoms.

***

Density functional theory data (PBE) for crystalline Y2ZnBr at its relaxed geometry.

Unit cell a=7.576 b=7.734 c=3.420 alpha=90.00 beta=100.56 gamma=90.00
Space group C2/m (No. 12)
One atom of each set of equivalent atoms:
Y 0.250 0.250 0.000 [4 per cell]
Zn 0.000 0.000 0.500 [2 per cell]
Br 0.000 0.500 0.500 [2 per cell]

Summary:
The value obtained for the energy above the lowest structure with this stoichiometry is 181.9 meV/atom. For the magnetization, the calculation gives 0.01 μB per cell. The calculation puts the uncorrected formation energy at -47 kJ/mol of atoms.

***

Density functional theory data (PBE) for crystalline YZnBr2 at its relaxed geometry.

Unit cell a=4.296 b=4.296 c=10.639 alpha=90.00 beta=90.00 gamma=90.00
Space group I-4m2 (No. 119)
One atom of each set of equivalent atoms:
Y 0.000 0.000 0.000 [2 per cell]
Zn 0.000 0.500 0.750 [2 per cell]
Br 0.000 0.000 0.500 [2 per cell]
Br 0.000 0.500 0.250 [2 per cell]

Summary:
The value obtained for the energy above the lowest structure with this stoichiometry is 317.8 meV/atom. For the magnetization, the calculation gives 0.00 μB per cell. The calculation puts the uncorrected formation energy at -62 kJ/mol of atoms.